[1]
Below is Os2WSe after structural relaxation, with properties calculated at the GGA-PBE level.

Cell lengths 2.7739, 2.7739, 9.4665 Å; angles 90.00, 90.00, 118.57 degrees
Fractional coordinates of all 4 atoms:
Os 0.0000 0.0000 0.0007
Os 0.5000 0.5000 0.2402
Se 0.0000 0.0000 0.4968
W 0.5000 0.5000 0.7624

Formation energy without anion corrections in eV per atom: 0.828
Calculated volume in Å³/atom: 15.99

[2]
Below is Os2WSe after structural relaxation, with properties calculated at the GGA-PBE level.

Cell lengths 4.1196, 2.9003, 5.3456 Å; angles 72.85, 90.00, 90.00 degrees
Fractional coordinates of all 4 atoms:
Os 0.0000 0.1228 0.0086
Os 0.0000 0.3772 0.4914
Se 0.5000 0.2500 0.2500
W 0.5000 0.7500 0.7500

Formation energy without anion corrections in eV per atom: 0.500
Calculated volume in Å³/atom: 15.26

[3]
Below is OsWSe2 after structural relaxation, with properties calculated at the GGA-PBE level.

Cell lengths 4.8624, 4.8624, 4.8624 Å; angles 130.22, 130.22, 73.06 degrees
Fractional coordinates of all 4 atoms:
Os 0.7500 0.2500 0.5000
Se 0.0000 0.0000 0.0000
Se 0.2500 0.7500 0.5000
W 0.5000 0.5000 0.0000

Formation energy without anion corrections in eV per atom: 0.836
Calculated volume in Å³/atom: 16.36
E above lowest polymorph in eV/atom: 0.732

[4]
Below is Os2WSe after structural relaxation, with properties calculated at the GGA-PBE level.

Cell lengths 4.7407, 4.7407, 4.7407 Å; angles 129.51, 129.51, 74.18 degrees
Fractional coordinates of all 4 atoms:
Os 0.0000 0.0000 0.0000
Os 0.5000 0.5000 0.0000
Se 0.2500 0.7500 0.5000
W 0.7500 0.2500 0.5000

Formation energy without anion corrections in eV per atom: 0.765
Calculated volume in Å³/atom: 15.46